Entry 1:
Material: NaHfMg2Ga
Method: DFT, GGA-PBE
State: optimized geometry

- SG: P4/mmm (123)
- DOS at the Fermi energy: 4.77 states/eV/f.u.
- ρ: 4.17 g/cm³
- Uncorrected energy: -2.770 eV per atom
- ΔE_f: 728 meV/atom

Cell: 5.014 5.014 5.068 Å, 90.00 90.00 90.00°
Element x y z (fractional)
Na1 0.000 0.000 0.000
Hf1 0.500 0.500 0.000
Mg1 0.000 0.500 0.500
Mg2 0.500 0.000 0.500
Ga1 0.000 0.000 0.500



Entry 2:
Material: CoWCl2
Method: DFT, GGA-PBE
State: optimized geometry

- SG: Fm-3m (225)
- DOS at the Fermi energy: 3.49 states/eV/f.u.
- Offset from the most stable computed form: 1.1661 eV per atom
- ρ: 9.36 g/cm³
- Uncorrected energy: -4.894 eV per atom
- Formation energy without anion corrections: 100.8 kJ/mol of atoms

Cell: 4.286 4.286 4.286 Å, 60.00 60.00 60.00°
Element x y z (fractional)
Co1 0.000 0.000 0.000
W1 0.500 0.500 0.500
Cl1 0.250 0.250 0.250
Cl2 0.750 0.750 0.750



Entry 3:
Material: Ca3Ho2UAs6
Method: DFT, GGA-PBE
State: optimized geometry

- SG: C2/m (12)
- ρ: 6.18 g/cm³
- Uncorrected energy: -5.749 eV per atom
- ΔE_f: -1220 meV/atom

Cell: 7.177 7.177 7.256 Å, 99.50 99.50 119.99°
Element x y z (fractional)
Ca1 0.000 0.000 0.000
Ca2 0.330 0.670 0.000
Ca3 0.670 0.330 0.000
Ho1 0.166 0.834 0.500
Ho2 0.834 0.166 0.500
U1 0.500 0.500 0.500
As1 0.103 0.423 0.269
As2 0.258 0.258 0.730
As3 0.423 0.103 0.269
As4 0.577 0.897 0.731
As5 0.742 0.742 0.270
As6 0.897 0.577 0.731